First-principles (PBE-GGA) data for a geometry-optimized Hf2NiIBr structure, as listed in Alexandria.

Computed properties:
The formation energy without anion corrections is 5.76 eV/f.u. The total magnetic moment comes out at 0.0 μB/f.u. As for the space-group type: P4/mmm, No. 123.

a b c (Å): 5.319 4.472 5.319
angles (deg): 90.00 90.00 90.00
Sites, in units of the cell vectors:
Ni: 0.000 0.500 0.000
Br: 0.500 0.500 0.500
Hf: 0.000 0.000 0.500
I: 0.000 0.000 0.000
Hf: 0.500 0.000 0.000